<i>
Material: Y2Mg2Cu
Method: DFT, PBE
State: relaxed

Computed properties:
The total magnetization comes out at 0.00 μB per formula unit.

a b c (Å): 4.3083 4.3083 15.1238
angles (deg): 90.00 90.00 90.00
Closest atoms and distances in Å follow each position.
Space group I4/mmm (No. 139)
Symmetry-distinct sites (fractional):
Y  0.0000  0.5000  0.2500 (multiplicity 4)  4 Y 3.05, 4 Mg 3.25
Mg  0.0000  0.0000  0.0892 (multiplicity 4)  1 Mg 2.70
Cu  0.0000  0.0000  0.5000 (multiplicity 2)  8 Mg 3.33

---

<ii>
Material: Y2Mg2Cu
Method: DFT, PBE
State: relaxed

Computed properties:
The total magnetization comes out at 0.01 μB per formula unit.

a b c (Å): 6.8708 6.8708 5.2110
angles (deg): 90.00 90.00 90.00
Closest atoms and distances in Å follow each position.
Space group P4/mbm (No. 127)
Symmetry-distinct sites (fractional):
Y  0.1708  0.3292  0.0000 (multiplicity 4)  6 Mg 3.16-3.40, 1 Y 3.32
Mg  0.1461  0.6461  0.5000 (multiplicity 4)  2 Cu 2.63, 1 Mg 2.84
Cu  0.0000  0.0000  0.5000 (multiplicity 2)  4 Mg 2.63

---

<iii>
Material: Y2Mg2Cu
Method: DFT, PBE
State: relaxed

Computed properties:
The total magnetization comes out at 0.00 μB per formula unit.

a b c (Å): 3.7781 3.7781 18.0734
angles (deg): 90.00 90.00 90.00
Closest atoms and distances in Å follow each position.
Space group I4/mmm (No. 139)
Symmetry-distinct sites (fractional):
Y  0.0000  0.0000  0.0886 (multiplicity 4)  4 Cu 3.12, 1 Y 3.20, 4 Mg 3.47
Mg  0.0000  0.5000  0.2500 (multiplicity 4)  4 Mg 2.67
Cu  0.0000  0.0000  0.5000 (multiplicity 2)  8 Y 3.12

---

<iv>
Material: Y2Mg2Cu
Method: DFT, PBE
State: relaxed

Computed properties:
The total magnetization comes out at 0.00 μB per formula unit.

a b c (Å): 3.3229 7.0886 10.3723
angles (deg): 90.00 90.00 90.00
Closest atoms and distances in Å follow each position.
Space group Immm (No. 71)
Symmetry-distinct sites (fractional):
Y  0.0000  0.0000  0.2467 (multiplicity 4)  2 Cu 3.05, 2 Mg 3.30, 2 Y 3.32
Mg  0.0000  0.2937  0.0000 (multiplicity 4)  2 Cu 2.66, 1 Mg 2.92
Cu  0.0000  0.5000  0.5000 (multiplicity 2)  4 Mg 2.66

---

Preferred: <iv>; penalty for the next structure: 87 meV/atom.